Material: K2TlIrCl
Method: DFT, GGA-PBE
State: optimized geometry

Geometry as CIF:
```
data_K2TlIrCl
_chemical_formula_sum 'K2 Tl1 Ir1 Cl1'
_cell_length_a 6.130
_cell_length_b 6.130
_cell_length_c 5.206
_cell_angle_alpha 90.00
_cell_angle_beta 90.00
_cell_angle_gamma 90.00
_space_group_name_H-M_alt 'P 4/m m m'
_space_group_IT_number 123
_space_group_name_Hall '-P 4 2'
loop_
_atom_site_label
_atom_site_type_symbol
_atom_site_fract_x
_atom_site_fract_y
_atom_site_fract_z
K1 K 0.000 0.500 0.000
Tl1 Tl 0.000 0.000 0.500
Ir1 Ir 0.000 0.000 0.000
Cl1 Cl 0.500 0.500 0.500
```

Magnetization   0.40 μB per formula unit
Formation energy from raw total energies   -0.66 eV per formula unit
Energy relative to the lowest polymorph listed for this composition   0.000 eV per atom
V   196 Å³ per cell


Material: TbDy3Y6
Method: DFT, GGA-PBE
State: optimized geometry

Geometry as CIF:
```
data_TbDy3Y6
_chemical_formula_sum 'Tb4 Dy12 Y24'
_cell_length_a 9.644
_cell_length_b 20.990
_cell_length_c 6.393
_cell_angle_alpha 90.00
_cell_angle_beta 90.00
_cell_angle_gamma 90.00
_space_group_name_H-M_alt 'C m c 21'
_space_group_IT_number 36
_space_group_name_Hall 'C 2c -2'
loop_
_atom_site_label
_atom_site_type_symbol
_atom_site_fract_x
_atom_site_fract_y
_atom_site_fract_z
Tb1 Tb 0.000 0.161 0.000
Dy1 Dy 0.000 0.419 0.080
Dy2 Dy 0.168 0.127 0.473
Y1 Y 0.000 0.015 0.802
Y2 Y 0.000 0.301 0.774
Y3 Y 0.176 0.281 0.313
Y4 Y 0.181 0.440 0.555
```

Magnetization   0.00 μB per formula unit
Energy relative to the lowest polymorph listed for this composition   0.000 eV per atom
DFT formation energy   115 meV/atom
V   1294 Å³ per cell


Material: TiNiP2Cl
Method: DFT, GGA-PBE
State: optimized geometry

Geometry as CIF:
```
data_TiNiP2Cl
_chemical_formula_sum 'Ti1 Ni1 P2 Cl1'
_cell_length_a 4.739
_cell_length_b 4.739
_cell_length_c 4.641
_cell_angle_alpha 90.00
_cell_angle_beta 90.00
_cell_angle_gamma 90.00
_space_group_name_H-M_alt 'P 4/m m m'
_space_group_IT_number 123
_space_group_name_Hall '-P 4 2'
loop_
_atom_site_label
_atom_site_type_symbol
_atom_site_fract_x
_atom_site_fract_y
_atom_site_fract_z
Ti1 Ti 0.000 0.000 0.000
Ni1 Ni 0.500 0.500 0.500
P1 P 0.000 0.500 0.000
Cl1 Cl 0.000 0.000 0.500
```

Magnetization   1.06 μB per formula unit
Formation energy from raw total energies   2.05 eV per formula unit
Energy relative to the lowest polymorph listed for this composition   0.110 eV per atom
V   104 Å³ per cell


Material: CoNiGe2
Method: DFT, GGA-PBE
State: optimized geometry

Geometry as CIF:
```
data_CoNiGe2
_chemical_formula_sum 'Co3 Ni3 Ge6'
_cell_length_a 2.8470
_cell_length_b 2.8470
_cell_length_c 22.4649
_cell_angle_alpha 90.00
_cell_angle_beta 90.00
_cell_angle_gamma 120.00
_space_group_name_H-M_alt 'R -3 m'
_space_group_IT_number 166
_space_group_name_Hall '-R 3 2"'
loop_
_atom_site_label
_atom_site_type_symbol
_atom_site_fract_x
_atom_site_fract_y
_atom_site_fract_z
Co1 Co 0.0000 0.0000 0.0000
Ni1 Ni 0.0000 0.0000 0.5000
Ge1 Ge 0.0000 0.0000 0.2516
```

Magnetization   0.28 μB per formula unit
DFT formation energy   -45 meV/atom
V   158 Å³ per cell


Material: NdHo2N3
Method: DFT, GGA-PBE
State: optimized geometry

Geometry as CIF:
```
data_NdHo2N3
_chemical_formula_sum 'Nd4 Ho8 N12'
_cell_length_a 6.097
_cell_length_b 10.561
_cell_length_c 6.097
_cell_angle_alpha 90.00
_cell_angle_beta 109.46
_cell_angle_gamma 90.00
_space_group_name_H-M_alt 'C 1 2/m 1'
_space_group_IT_number 12
_space_group_name_Hall '-C 2y'
loop_
_atom_site_label
_atom_site_type_symbol
_atom_site_fract_x
_atom_site_fract_y
_atom_site_fract_z
Nd1 Nd 0.000 0.167 0.000
Ho1 Ho 0.000 0.000 0.500
Ho2 Ho 0.000 0.335 0.500
Ho3 Ho 0.000 0.500 0.000
N1 N 0.239 0.500 0.742
N2 N 0.249 0.337 0.258
```

Magnetization   0.00 μB per formula unit
Formation energy from raw total energies   -9.54 eV per formula unit
V   370 Å³ per cell


Material: SbAs2Br
Method: DFT, GGA-PBE
State: optimized geometry

Geometry as CIF:
```
data_SbAs2Br
_chemical_formula_sum 'Sb2 As4 Br2'
_cell_length_a 5.036
_cell_length_b 5.036
_cell_length_c 7.112
_cell_angle_alpha 90.00
_cell_angle_beta 90.00
_cell_angle_gamma 90.00
_space_group_name_H-M_alt 'I -4 m 2'
_space_group_IT_number 119
_space_group_name_Hall 'I -4 -2'
loop_
_atom_site_label
_atom_site_type_symbol
_atom_site_fract_x
_atom_site_fract_y
_atom_site_fract_z
Sb1 Sb 0.000 0.000 0.000
As1 As 0.000 0.000 0.500
As2 As 0.000 0.500 0.750
Br1 Br 0.000 0.500 0.250
```

Magnetization   0.00 μB per formula unit
Formation energy from raw total energies   1.56 eV per formula unit
Energy relative to the lowest polymorph listed for this composition   0.427 eV per atom
V   180 Å³ per cell


Material: GePtO2
Method: DFT, GGA-PBE
State: optimized geometry

Geometry as CIF:
```
data_GePtO2
_chemical_formula_sum 'Ge2 Pt2 O4'
_cell_length_a 2.869
_cell_length_b 5.937
_cell_length_c 6.176
_cell_angle_alpha 77.87
_cell_angle_beta 88.27
_cell_angle_gamma 84.21
_space_group_name_H-M_alt 'P 1'
_space_group_IT_number 1
_space_group_name_Hall 'P 1'
loop_
_atom_site_label
_atom_site_type_symbol
_atom_site_fract_x
_atom_site_fract_y
_atom_site_fract_z
Ge1 Ge 0.000 0.000 0.000
Ge2 Ge 0.183 0.658 0.655
Pt1 Pt 0.497 0.022 0.476
Pt2 Pt 0.960 0.350 0.183
O1 O 0.064 0.669 0.943
O2 O 0.482 0.091 0.794
O3 O 0.520 0.884 0.200
O4 O 0.728 0.496 0.593
```

Magnetization   0.00 μB per formula unit
Formation energy from raw total energies   -3.19 eV per formula unit
V   102 Å³ per cell


Material: Re8As
Method: DFT, GGA-PBE
State: optimized geometry

Geometry as CIF:
```
data_Re8As
_chemical_formula_sum 'Re16 As2'
_cell_length_a 8.354
_cell_length_b 8.354
_cell_length_c 3.951
_cell_angle_alpha 90.00
_cell_angle_beta 90.00
_cell_angle_gamma 90.00
_space_group_name_H-M_alt 'I 4/m m m'
_space_group_IT_number 139
_space_group_name_Hall '-I 4 2'
loop_
_atom_site_label
_atom_site_type_symbol
_atom_site_fract_x
_atom_site_fract_y
_atom_site_fract_z
Re1 Re 0.000 0.342 0.000
Re2 Re 0.177 0.177 0.500
As1 As 0.000 0.000 0.000
```

Magnetization   0.00 μB per formula unit
DFT formation energy   152 meV/atom
V   276 Å³ per cell


Which formula does entry 4 have?
CoNiGe2


Among the records above, which one has the lowest V?
GePtO2


Repeat the eighth record exactly.
Material: Re8As
Method: DFT, GGA-PBE
State: optimized geometry

Geometry as CIF:
```
data_Re8As
_chemical_formula_sum 'Re16 As2'
_cell_length_a 8.354
_cell_length_b 8.354
_cell_length_c 3.951
_cell_angle_alpha 90.00
_cell_angle_beta 90.00
_cell_angle_gamma 90.00
_space_group_name_H-M_alt 'I 4/m m m'
_space_group_IT_number 139
_space_group_name_Hall '-I 4 2'
loop_
_atom_site_label
_atom_site_type_symbol
_atom_site_fract_x
_atom_site_fract_y
_atom_site_fract_z
Re1 Re 0.000 0.342 0.000
Re2 Re 0.177 0.177 0.500
As1 As 0.000 0.000 0.000
```

Magnetization   0.00 μB per formula unit
DFT formation energy   152 meV/atom
V   276 Å³ per cell